No. 1
## Li6AlPd2 (PBE)

Data for an optimized crystal structure of Li6AlPd2.

total magnetic moment: 0.000 μB/atom
final energy: -3.16 eV/atom
ρ: 3.328 g cm⁻³
energy of formation: -0.312 eV/atom

Geometry as CIF:
```
data_Li6AlPd2
_cell_length_a 2.942
_cell_length_b 7.221
_cell_length_c 7.603
_cell_angle_alpha 61.65
_cell_angle_beta 85.81
_cell_angle_gamma 81.15
_space_group_name_H-M_alt 'P 1'
_space_group_IT_number 1
loop_
_space_group_symop_operation_xyz
'x,y,z'
loop_
_atom_site_label
_atom_site_type_symbol
_atom_site_fract_x
_atom_site_fract_y
_atom_site_fract_z
Pd1 Pd 0.500 0.847 0.306
Pd2 Pd 0.500 0.153 0.694
Li1 Li 0.172 0.849 0.653
Li2 Li 0.172 0.502 0.347
Li3 Li 0.828 0.151 0.347
Li4 Li 0.652 0.673 0.000
Li5 Li 0.348 0.327 0.000
Li6 Li 0.828 0.498 0.653
Al1 Al 0.000 0.000 0.000
```

---

No. 2
## LiAl3Pd3 (PBE)

Data for an optimized crystal structure of LiAl3Pd3.

total magnetic moment: 0.000 μB/atom
final energy: -4.80 eV/atom
ρ: 6.145 g cm⁻³
energy of formation: -0.698 eV/atom

Geometry as CIF:
```
data_LiAl3Pd3
_cell_length_a 5.248
_cell_length_b 5.169
_cell_length_c 5.248
_cell_angle_alpha 109.16
_cell_angle_beta 109.78
_cell_angle_gamma 109.16
_space_group_name_H-M_alt 'P 1'
_space_group_IT_number 1
loop_
_space_group_symop_operation_xyz
'x,y,z'
loop_
_atom_site_label
_atom_site_type_symbol
_atom_site_fract_x
_atom_site_fract_y
_atom_site_fract_z
Al1 Al 0.500 0.004 0.000
Al2 Al 0.000 0.004 0.500
Al3 Al 0.500 0.504 0.500
Pd1 Pd 0.500 0.504 0.000
Pd2 Pd 0.500 0.004 0.500
Pd3 Pd 0.000 0.504 0.500
Li1 Li 0.000 0.503 0.000
```

---

No. 3
## Li2AlPd (PBE)

Data for an optimized crystal structure of Li2AlPd.

total magnetic moment: 0.000 μB/atom
final energy: -3.47 eV/atom
ρ: 3.864 g cm⁻³
energy of formation: -0.280 eV/atom

Geometry as CIF:
```
data_Li2AlPd
_cell_length_a 3.604
_cell_length_b 3.604
_cell_length_c 10.073
_cell_angle_alpha 79.69
_cell_angle_beta 79.69
_cell_angle_gamma 90.00
_space_group_name_H-M_alt 'P 1'
_space_group_IT_number 1
loop_
_space_group_symop_operation_xyz
'x,y,z'
loop_
_atom_site_label
_atom_site_type_symbol
_atom_site_fract_x
_atom_site_fract_y
_atom_site_fract_z
Li1 Li 0.875 0.887 0.750
Li2 Li 0.375 0.363 0.750
Li3 Li 0.113 0.625 0.250
Li4 Li 0.637 0.125 0.250
Al1 Al 0.500 0.500 0.000
Al2 Al 0.250 0.750 0.500
Pd1 Pd 0.000 0.000 0.000
Pd2 Pd 0.750 0.250 0.500
```

---

No. 4
## LiAlPd4 (PBE)

Data for an optimized crystal structure of LiAlPd4.

total magnetic moment: 0.000 μB/atom
final energy: -4.75 eV/atom
ρ: 7.463 g cm⁻³
energy of formation: -0.342 eV/atom

Geometry as CIF:
```
data_LiAlPd4
_cell_length_a 4.511
_cell_length_b 5.333
_cell_length_c 8.797
_cell_angle_alpha 90.00
_cell_angle_beta 104.86
_cell_angle_gamma 90.00
_space_group_name_H-M_alt 'P 1'
_space_group_IT_number 1
loop_
_space_group_symop_operation_xyz
'x,y,z'
loop_
_atom_site_label
_atom_site_type_symbol
_atom_site_fract_x
_atom_site_fract_y
_atom_site_fract_z
Pd1 Pd 0.705 0.571 0.410
Pd2 Pd 0.560 0.322 0.120
Pd3 Pd 0.295 0.071 0.590
Pd4 Pd 0.295 0.573 0.590
Pd5 Pd 0.705 0.073 0.410
Pd6 Pd 0.853 0.323 0.705
Pd7 Pd 0.440 0.822 0.880
Pd8 Pd 0.147 0.823 0.295
Al1 Al 0.420 0.322 0.840
Al2 Al 0.580 0.822 0.160
Li1 Li 0.144 0.323 0.288
Li2 Li 0.856 0.823 0.712
```

---

No. 5
## LiAlPd14 (PBE)

Data for an optimized crystal structure of LiAlPd14.

total magnetic moment: 0.000 μB/atom
final energy: -5.10 eV/atom
ρ: 10.484 g cm⁻³
energy of formation: -0.207 eV/atom

Geometry as CIF:
```
data_LiAlPd14
_cell_length_a 5.510
_cell_length_b 5.510
_cell_length_c 9.058
_cell_angle_alpha 90.00
_cell_angle_beta 90.00
_cell_angle_gamma 118.66
_space_group_name_H-M_alt 'P 1'
_space_group_IT_number 1
loop_
_space_group_symop_operation_xyz
'x,y,z'
loop_
_atom_site_label
_atom_site_type_symbol
_atom_site_fract_x
_atom_site_fract_y
_atom_site_fract_z
Li1 Li 0.051 0.949 0.500
Pd1 Pd 0.869 0.627 0.263
Pd2 Pd 0.702 0.797 0.000
Pd3 Pd 0.373 0.131 0.737
Pd4 Pd 0.874 0.126 0.251
Pd5 Pd 0.203 0.298 0.000
Pd6 Pd 0.556 0.946 0.500
Pd7 Pd 0.701 0.299 0.000
Pd8 Pd 0.373 0.131 0.263
Pd9 Pd 0.374 0.626 0.747
Pd10 Pd 0.869 0.627 0.737
Pd11 Pd 0.374 0.626 0.253
Pd12 Pd 0.874 0.126 0.749
Pd13 Pd 0.054 0.444 0.500
Pd14 Pd 0.201 0.799 0.000
Al1 Al 0.550 0.450 0.500
```

---

No. 6
## LiAl3Pd (PBE)

Data for an optimized crystal structure of LiAl3Pd.

total magnetic moment: 0.000 μB/atom
final energy: -4.05 eV/atom
ρ: 3.704 g cm⁻³
energy of formation: -0.383 eV/atom

Geometry as CIF:
```
data_LiAl3Pd
_cell_length_a 3.754
_cell_length_b 8.397
_cell_length_c 11.053
_cell_angle_alpha 90.00
_cell_angle_beta 90.00
_cell_angle_gamma 90.00
_space_group_name_H-M_alt 'P 1'
_space_group_IT_number 1
loop_
_space_group_symop_operation_xyz
'x,y,z'
loop_
_atom_site_label
_atom_site_type_symbol
_atom_site_fract_x
_atom_site_fract_y
_atom_site_fract_z
Al1 Al 0.250 0.308 0.285
Al2 Al 0.750 0.192 0.785
Al3 Al 0.250 0.441 0.712
Al4 Al 0.250 0.041 0.412
Al5 Al 0.750 0.959 0.588
Al6 Al 0.250 0.941 0.788
Al7 Al 0.250 0.808 0.215
Al8 Al 0.750 0.059 0.212
Al9 Al 0.750 0.559 0.288
Al10 Al 0.250 0.541 0.088
Al11 Al 0.750 0.459 0.912
Al12 Al 0.750 0.692 0.715
Pd1 Pd 0.250 0.162 0.627
Pd2 Pd 0.750 0.338 0.127
Pd3 Pd 0.750 0.838 0.373
Pd4 Pd 0.250 0.662 0.873
Li1 Li 0.750 0.349 0.508
Li2 Li 0.750 0.849 0.992
Li3 Li 0.250 0.151 0.008
Li4 Li 0.250 0.651 0.492
```